(1)
## SmSeO3 (PBE-GGA)

Data for a geometry-optimized SmSeO3 structure.

Structure (POSCAR):
```
SmSeO3
1.0
6.015 0.000 0.000
0.000 7.147 0.000
-3.546 0.000 7.071
Sm Se O
4 4 12
Cartesian
-0.533 0.899 2.646
-2.306 2.674 6.181
4.774 4.473 0.890
3.001 6.248 4.426
0.038 4.595 4.357
1.811 6.126 0.822
0.658 1.021 6.250
2.431 2.552 2.714
-2.131 1.210 4.293
-0.358 2.363 0.757
-1.941 0.236 6.744
-0.168 3.338 3.208
-0.086 3.768 5.908
1.687 6.953 2.372
0.782 0.194 4.699
2.555 3.379 1.164
2.637 3.809 3.863
4.410 6.911 0.328
2.826 4.784 6.314
4.599 5.937 2.779
```

***

(2)
## Sm4SeO5 (PBE-GGA)

Data for a geometry-optimized Sm4SeO5 structure.

Structure (POSCAR):
```
Sm4SeO5
1.0
-1.891 3.471 6.698
1.891 -3.471 6.698
1.891 3.471 -6.698
Sm Se O
4 1 5
Cartesian
0.000 0.000 2.956
1.891 1.981 0.000
0.000 1.490 6.698
0.000 0.000 10.440
0.000 0.000 0.000
1.891 1.546 -2.265
1.891 1.546 2.265
0.000 3.471 0.000
0.000 1.926 4.433
0.000 1.926 8.963
```

***

(3)
## SmSeO (PBE-GGA)

Data for a geometry-optimized SmSeO structure.

Structure (POSCAR):
```
SmSeO
1.0
3.533 -1.878 0.000
3.533 1.878 0.000
-3.359 0.000 9.322
Sm Se O
2 2 2
Cartesian
-0.498 0.000 3.171
4.204 0.000 6.150
1.712 0.000 1.086
1.994 0.000 8.236
-0.540 0.000 5.549
4.246 0.000 3.773
```

***

Number 1: E -130.639 eV/cell. Number 2: E -76.247 eV/cell. Number 3: E -39.537 eV/cell.